MnSn2Pd | PBE | optimized geometry

Computed properties:
The value obtained for the calculated volume is 87 Å³ per cell. As for the spin magnetization: 4.0 μB per cell. The formation energy comes out at 0.125 eV/atom.

Structure (CIF):
```
data_MnSn2Pd
_chemical_formula_sum 'Mn1 Sn2 Pd1'
_space_group_name_H-M_alt 'P 1'
_space_group_IT_number 1
_space_group_name_Hall 'P 1'
_cell_length_a 3.234
_cell_length_b 3.234
_cell_length_c 9.742
_cell_angle_alpha 80.45
_cell_angle_beta 80.45
_cell_angle_gamma 60.00
loop_
_atom_site_label
_atom_site_fract_x
_atom_site_fract_y
_atom_site_fract_z
Pd1 0.500 0.500 0.500
Mn1 0.000 0.000 0.000
Sn1 0.094 0.094 0.718
Sn2 0.906 0.906 0.282
```



ZnP | PBE | optimized geometry

Computed properties:
The value obtained for the calculated volume is 284 Å³ per cell. As for the spin magnetization: 0.0 μB per cell. The formation energy comes out at 0.184 eV/atom.

Structure (CIF):
```
data_ZnP
_chemical_formula_sum 'Zn6 P6'
_space_group_name_H-M_alt 'P 1'
_space_group_IT_number 1
_space_group_name_Hall 'P 1'
_cell_length_a 8.828
_cell_length_b 8.828
_cell_length_c 4.201
_cell_angle_alpha 90.00
_cell_angle_beta 90.00
_cell_angle_gamma 120.00
loop_
_atom_site_label
_atom_site_fract_x
_atom_site_fract_y
_atom_site_fract_z
P1 0.618 0.635 0.750
Zn1 0.133 0.700 0.750
Zn2 0.867 0.300 0.250
Zn3 0.300 0.433 0.750
Zn4 0.567 0.867 0.750
P2 0.365 0.983 0.750
Zn5 0.433 0.133 0.250
Zn6 0.700 0.567 0.250
P3 0.017 0.382 0.750
P4 0.635 0.017 0.250
P5 0.983 0.618 0.250
P6 0.382 0.365 0.250
```